# 1
A plane-wave DFT calculation with GGA-PBE was carried out for crystalline Sm2CoH at its relaxed geometry.

```
data_Sm2CoH
_symmetry_space_group_name_H-M 'R 3 m'
_symmetry_Int_Tables_number 160
_symmetry_space_group_name_Hall 'R 3 -2"'
_cell_length_a 3.7122
_cell_length_b 3.7122
_cell_length_c 20.3186
_cell_angle_alpha 90.00
_cell_angle_beta 90.00
_cell_angle_gamma 120.00
loop_
_atom_site_label
_atom_site_type_symbol
_atom_site_fract_x
_atom_site_fract_y
_atom_site_fract_z
Sm1 Sm 0.0000 0.0000 0.0000
Sm2 Sm 0.0000 0.0000 0.1728
Co1 Co 0.0000 0.0000 0.5862
H1 H 0.0000 0.0000 0.4163
```

Crystal system = trigonal
Relative energy among the computed polymorphs = 0.085 eV/atom
Size of the total moment = 0.0000 μB/atom



# 2
A plane-wave DFT calculation with GGA-PBE was carried out for crystalline Sm2CoH at its relaxed geometry.

```
data_Sm2CoH
_symmetry_space_group_name_H-M 'R -3 m'
_symmetry_Int_Tables_number 166
_symmetry_space_group_name_Hall '-R 3 2"'
_cell_length_a 3.8544
_cell_length_b 3.8544
_cell_length_c 18.3072
_cell_angle_alpha 90.00
_cell_angle_beta 90.00
_cell_angle_gamma 120.00
loop_
_atom_site_label
_atom_site_type_symbol
_atom_site_fract_x
_atom_site_fract_y
_atom_site_fract_z
Sm1 Sm 0.0000 0.0000 0.2474
Co1 Co 0.0000 0.0000 0.0000
H1 H 0.0000 0.0000 0.5000
```

Crystal system = trigonal
Relative energy among the computed polymorphs = 0.000 eV/atom
Size of the total moment = 0.0000 μB/atom



# 3
A plane-wave DFT calculation with GGA-PBE was carried out for crystalline Sm4Co2H at its relaxed geometry.

```
data_Sm4Co2H
_symmetry_space_group_name_H-M 'I 4/m m m'
_symmetry_Int_Tables_number 139
_symmetry_space_group_name_Hall '-I 4 2'
_cell_length_a 4.7171
_cell_length_b 4.7171
_cell_length_c 13.7170
_cell_angle_alpha 90.00
_cell_angle_beta 90.00
_cell_angle_gamma 90.00
loop_
_atom_site_label
_atom_site_type_symbol
_atom_site_fract_x
_atom_site_fract_y
_atom_site_fract_z
Sm1 Sm 0.0000 0.0000 0.1963
Sm2 Sm 0.0000 0.5000 0.0000
Co1 Co 0.0000 0.0000 0.3817
H1 H 0.0000 0.0000 0.0000
```

Crystal system = tetragonal
Relative energy among the computed polymorphs = 0.120 eV/atom
Size of the total moment = 0.0000 μB/atom



# 4
A plane-wave DFT calculation with GGA-PBE was carried out for crystalline SmCo2H7 at its relaxed geometry.

```
data_SmCo2H7
_symmetry_space_group_name_H-M 'C m m m'
_symmetry_Int_Tables_number 65
_symmetry_space_group_name_Hall '-C 2 2'
_cell_length_a 4.9145
_cell_length_b 8.3873
_cell_length_c 3.4714
_cell_angle_alpha 90.00
_cell_angle_beta 90.00
_cell_angle_gamma 90.00
loop_
_atom_site_label
_atom_site_type_symbol
_atom_site_fract_x
_atom_site_fract_y
_atom_site_fract_z
Sm1 Sm 0.0000 0.0000 0.0000
Co1 Co 0.0000 0.3116 0.5000
H1 H 0.0000 0.3151 0.0000
H2 H 0.0000 0.5000 0.5000
H3 H 0.1827 0.1481 0.5000
```

Uncorrected energy = -4.47 eV/atom
Crystal system = orthorhombic
Size of the total moment = 0.0000 μB/atom



# 5
A plane-wave DFT calculation with GGA-PBE was carried out for crystalline SmCo5H11 at its relaxed geometry.

```
data_SmCo5H11
_symmetry_space_group_name_H-M 'C 1 2/m 1'
_symmetry_Int_Tables_number 12
_symmetry_space_group_name_Hall '-C 2y'
_cell_length_a 8.0138
_cell_length_b 7.6703
_cell_length_c 4.6580
_cell_angle_alpha 90.00
_cell_angle_beta 122.11
_cell_angle_gamma 90.00
loop_
_atom_site_label
_atom_site_type_symbol
_atom_site_fract_x
_atom_site_fract_y
_atom_site_fract_z
Sm1 Sm 0.0000 0.0000 0.0000
Co1 Co 0.0000 0.5000 0.0000
Co2 Co 0.2069 0.1750 0.7059
H1 H 0.0000 0.0000 0.5000
H2 H 0.1052 0.2609 0.3262
H3 H 0.1950 0.3615 0.8837
H4 H 0.2233 0.5000 0.4126
```

Uncorrected energy = -4.54 eV/atom
Crystal system = monoclinic
Size of the total moment = 0.2156 μB/atom



# 6
A plane-wave DFT calculation with GGA-PBE was carried out for crystalline SmCo3H6 at its relaxed geometry.

```
data_SmCo3H6
_symmetry_space_group_name_H-M 'R 3'
_symmetry_Int_Tables_number 146
_symmetry_space_group_name_Hall 'R 3'
_cell_length_a 4.3902
_cell_length_b 4.3902
_cell_length_c 14.5901
_cell_angle_alpha 90.00
_cell_angle_beta 90.00
_cell_angle_gamma 120.00
loop_
_atom_site_label
_atom_site_type_symbol
_atom_site_fract_x
_atom_site_fract_y
_atom_site_fract_z
Sm1 Sm 0.0000 0.0000 0.0000
Co1 Co 0.0000 0.0000 0.2051
Co2 Co 0.0000 0.0000 0.5364
Co3 Co 0.0000 0.0000 0.8137
H1 H 0.0003 0.5059 0.9431
H2 H 0.0384 0.3394 0.1317
```

Uncorrected energy = -4.82 eV/atom
Crystal system = trigonal
Size of the total moment = 0.1787 μB/atom



- Among the records above, which one has the highest size of the total moment?
  SmCo5H11



Please write out number 2 again, unchanged.
A plane-wave DFT calculation with GGA-PBE was carried out for crystalline Sm2CoH at its relaxed geometry.

```
data_Sm2CoH
_symmetry_space_group_name_H-M 'R -3 m'
_symmetry_Int_Tables_number 166
_symmetry_space_group_name_Hall '-R 3 2"'
_cell_length_a 3.8544
_cell_length_b 3.8544
_cell_length_c 18.3072
_cell_angle_alpha 90.00
_cell_angle_beta 90.00
_cell_angle_gamma 120.00
loop_
_atom_site_label
_atom_site_type_symbol
_atom_site_fract_x
_atom_site_fract_y
_atom_site_fract_z
Sm1 Sm 0.0000 0.0000 0.2474
Co1 Co 0.0000 0.0000 0.0000
H1 H 0.0000 0.0000 0.5000
```

Crystal system = trigonal
Relative energy among the computed polymorphs = 0.000 eV/atom
Size of the total moment = 0.0000 μB/atom



- What is the formula in the second record?
  Sm2CoH